[1]
A relaxed structure of TlCoRu2Cl. Source: the Alexandria database, functional PBE.

The value obtained for the volume is 20.35 A^3/atom. Its density of states at the Fermi level is 8.31 states/eV/f.u. The total energy is -22.664 eV/cell. The magnetic moment comes out at 3.0 μB/f.u. As for the calculated density: 8.17 g/cm3. Its formation energy (no corrections) is 1441 meV per atom.

Lattice parameters (Å, degrees): 4.318 4.318 5.459 90.00 90.00 90.00
Space group P4/mmm (No. 123)
One atom of each set of equivalent atoms:
Tl 0.000 0.000 0.000 x1
Co 0.500 0.500 0.000 x1
Ru 0.000 0.500 0.500 x2
Cl 0.000 0.000 0.500 x1



[2]
A relaxed structure of TlCo2RuCl. Source: the Alexandria database, functional PBE.

The value obtained for the volume is 25.38 A^3/atom. Its density of states at the Fermi level is 7.88 states/eV/f.u. The total energy is -17.992 eV/cell. The magnetic moment comes out at 6.0 μB/f.u. As for the calculated density: 6.00 g/cm3. Its formation energy (no corrections) is 1942 meV per atom.

Lattice parameters (Å, degrees): 4.845 4.845 5.407 90.00 90.00 90.00
Space group P4/mmm (No. 123)
One atom of each set of equivalent atoms:
Tl 0.000 0.000 0.000 x1
Co 0.000 0.500 0.000 x2
Ru 0.500 0.500 0.500 x1
Cl 0.000 0.000 0.500 x1



[3]
A relaxed structure of CoSCl3. Source: the Alexandria database, functional PBE.

The value obtained for the volume is 19.66 A^3/atom. Its density of states at the Fermi level is 8.16 states/eV/f.u. The total energy is -15.029 eV/cell. The magnetic moment comes out at 2.2 μB/f.u. As for the calculated density: 3.33 g/cm3. Its formation energy (no corrections) is 349 meV per atom.

Lattice parameters (Å, degrees): 4.615 4.615 4.615 90.00 90.00 90.00
Space group Pm-3m (No. 221)
One atom of each set of equivalent atoms:
Co 0.000 0.000 0.000 x1
S 0.500 0.500 0.500 x1
Cl 0.000 0.000 0.500 x3



[4]
A relaxed structure of CoSCl2. Source: the Alexandria database, functional PBE.

The value obtained for the volume is 21.61 A^3/atom. Its density of states at the Fermi level is 6.16 states/eV/f.u. The total energy is -38.198 eV/cell. The magnetic moment comes out at 0.0 μB/f.u. As for the calculated density: 3.11 g/cm3. Its formation energy (no corrections) is 548 meV per atom.

Lattice parameters (Å, degrees): 2.8657 2.8657 36.4633 90.00 90.00 120.00
Space group R-3m (No. 166, hexagonal axes)
One atom of each set of equivalent atoms:
Co 0.0000 0.0000 0.0000 x3
S 0.0000 0.0000 0.5000 x3
Cl 0.0000 0.0000 0.0566 x6



[5]
A relaxed structure of CoSCl. Source: the Alexandria database, functional PBE.

The value obtained for the volume is 20.09 A^3/atom. The total energy is -14.562 eV/cell. The magnetic moment comes out at 0.0 μB/f.u. As for the calculated density: 3.48 g/cm3. Its formation energy (no corrections) is -494 meV per atom.

Lattice parameters (Å, degrees): 3.2612 3.2612 6.5432 90.00 90.00 120.00
Space group P3m1 (No. 156)
One atom of each set of equivalent atoms:
Co 0.0000 0.0000 0.0000 x1
S 0.6667 0.3333 0.1732 x1
Cl 0.3333 0.6667 0.7787 x1



[6]
A relaxed structure of Co2S2Cl. Source: the Alexandria database, functional PBE.

The value obtained for the volume is 16.47 A^3/atom. Its density of states at the Fermi level is 2.03 states/eV/f.u. The total energy is -52.069 eV/cell. The magnetic moment comes out at 0.0 μB/f.u. As for the calculated density: 4.39 g/cm3. Its formation energy (no corrections) is -344 meV per atom.

Lattice parameters (Å, degrees): 3.232 4.477 11.382 90.00 90.00 90.00
Space group Immm (No. 71)
One atom of each set of equivalent atoms:
Co 0.000 0.000 0.169 x4
S 0.000 0.500 0.203 x4
Cl 0.000 0.500 0.500 x2